DFT (GGA-PBE) results for an optimized crystal structure of CdSi2.

Values from the calculation:
* E_form (uncorrected): 1.198 eV/atom

The structure in CIF format:
```
data_CdSi2
_chemical_formula_sum 'Cd1 Si2'
_symmetry_space_group_name_H-M 'P 1'
_symmetry_Int_Tables_number 1
_symmetry_space_group_name_Hall 'P 1'
_cell_length_a 3.766
_cell_length_b 3.766
_cell_length_c 5.237
_cell_angle_alpha 90.00
_cell_angle_beta 90.00
_cell_angle_gamma 90.00
loop_
_atom_site_label
_atom_site_type_symbol
_atom_site_fract_x
_atom_site_fract_y
_atom_site_fract_z
Cd1 Cd 0.000 0.000 0.000
Si1 Si 0.000 0.000 0.500
Si2 Si 0.500 0.500 0.000
```